Here is a geometry-optimized RePPt structure from Alexandria via LeMat-Bulk. Energies are from GGA-PBE.

The structure in CIF format:
```
data_RePPt
_chemical_formula_sum 'Re4 P4 Pt4'
_cell_length_a 5.6716
_cell_length_b 5.6716
_cell_length_c 5.6716
_cell_angle_alpha 90.00
_cell_angle_beta 90.00
_cell_angle_gamma 90.00
_space_group_name_H-M_alt 'F -4 3 m'
_space_group_IT_number 216
_space_group_name_Hall 'F -4 2 3'
loop_
_atom_site_label
_atom_site_type_symbol
_atom_site_fract_x
_atom_site_fract_y
_atom_site_fract_z
Re1 Re 0.0000 0.0000 0.0000
P1 P 0.2500 0.2500 0.2500
Pt1 Pt 0.0000 0.0000 0.5000
```

Output
E_form = -118 meV/atom
Energy above the most stable polymorph in this dataset = 0 meV/atom
Total DFT energy (no corrections) = -8.0845 eV per atom
N(E_F) = 7.18 states/eV per cell
Magnetization = 0.00 μB per formula unit